No. 1
SCAN CaHf2SnAu, single point on PBEsol structure; uncorrected energy = -47.128 eV/atom; E_form = 85.8 kJ per mole of atoms; total magnetization = 0.0 μB per formula unit
1.0
5.208 0.000 0.000
0.000 5.208 0.000
0.000 0.000 5.465
Ca Hf Sn Au
1 2 1 1
Direct
0.000 0.000 0.000 Ca
0.000 0.500 0.500 Hf
0.500 0.000 0.500 Hf
0.000 0.000 0.500 Sn
0.500 0.500 0.000 Au

=====

No. 2
SCAN CaHf2ZnAu, single point on PBEsol structure; uncorrected energy = -43.075 eV/atom; E_form = 44.5 kJ per mole of atoms; total magnetization = 0.0 μB per formula unit
1.0
4.944 0.000 0.000
0.000 4.944 0.000
0.000 0.000 4.824
Ca Hf Zn Au
1 2 1 1
Direct
0.000 0.000 0.000 Ca
0.000 0.500 0.500 Hf
0.500 0.000 0.500 Hf
0.500 0.500 0.500 Zn
0.500 0.500 0.000 Au

=====

No. 3
SCAN CaHg2Au, single point on PBEsol structure; uncorrected energy = -54.291 eV/atom; E_form = -48.5 kJ per mole of atoms; total magnetization = 0.0 μB per formula unit
1.0
4.366 0.000 0.000
0.000 4.366 0.000
0.000 0.000 4.628
Ca Hg Au
1 2 1
Direct
0.000 0.000 0.000 Ca
0.000 0.500 0.500 Hg
0.500 0.000 0.500 Hg
0.500 0.500 0.000 Au

=====

No. 4
SCAN Ca2HgAu, single point on PBEsol structure; uncorrected energy = -39.973 eV/atom; E_form = -78.2 kJ per mole of atoms; total magnetization = 0.0 μB per formula unit
1.0
4.675 0.000 0.000
0.000 1.961 5.606
0.000 -1.961 5.606
Ca Hg Au
2 1 1
Direct
0.000 0.000 0.000 Ca
0.500 0.283 0.283 Ca
0.500 0.562 0.562 Hg
0.000 0.723 0.723 Au

=====

No. 5
SCAN CaHg2Au, single point on PBEsol structure; uncorrected energy = -54.302 eV/atom; E_form = -49.6 kJ per mole of atoms; total magnetization = 0.0 μB per formula unit
1.0
-2.316 2.316 3.978
2.316 -2.316 3.978
2.316 2.316 -3.978
Ca Hg Au
1 2 1
Direct
0.000 0.000 0.000 Ca
0.250 0.750 0.500 Hg
0.750 0.250 0.500 Hg
0.500 0.500 0.000 Au

=====

No. 6
SCAN Ca2HgAu, single point on PBEsol structure; uncorrected energy = -39.978 eV/atom; E_form = -78.7 kJ per mole of atoms; total magnetization = 0.0 μB per formula unit
1.0
5.114 0.000 0.000
0.000 5.114 0.000
0.000 0.000 3.668
Ca Hg Au
2 1 1
Direct
0.000 0.500 0.000 Ca
0.500 0.000 0.000 Ca
0.000 0.000 0.500 Hg
0.500 0.500 0.500 Au

=====

No. 7
SCAN CaHgAu, single point on PBEsol structure; uncorrected energy = -49.715 eV/atom; E_form = -69.4 kJ per mole of atoms; total magnetization = 0.0 μB per formula unit
1.0
4.780 0.000 0.000
-2.390 4.140 0.000
0.000 0.000 3.463
Ca Hg Au
1 1 1
Direct
0.000 0.000 0.000 Ca
0.667 0.333 0.500 Hg
0.333 0.667 0.500 Au

=====

No. 8
SCAN CaHg2Au, single point on PBEsol structure; uncorrected energy = -54.316 eV/atom; E_form = -51.0 kJ per mole of atoms; total magnetization = 0.0 μB per formula unit
1.0
0.000 3.511 3.511
3.511 0.000 3.511
3.511 3.511 0.000
Ca Hg Au
1 2 1
Direct
0.000 0.000 0.000 Ca
0.250 0.250 0.250 Hg
0.500 0.500 0.500 Hg
0.750 0.750 0.750 Au

=====

No. 9
SCAN CaHg2Au, single point on PBEsol structure; uncorrected energy = -54.297 eV/atom; E_form = -49.1 kJ per mole of atoms; total magnetization = 0.0 μB per formula unit
1.0
3.620 0.000 0.000
0.000 3.620 0.000
0.000 0.000 6.809
Ca Hg Au
1 2 1
Direct
0.000 0.000 0.000 Ca
0.000 0.000 0.533 Hg
0.500 0.500 0.284 Hg
0.500 0.500 0.762 Au

=====

No. 10
SCAN CaHg2Au, single point on PBEsol structure; uncorrected energy = -54.255 eV/atom; E_form = -45.0 kJ per mole of atoms; total magnetization = 0.0 μB per formula unit
1.0
3.594 0.000 0.000
0.000 3.594 0.000
0.000 0.000 6.778
Ca Hg Au
1 2 1
Direct
0.000 0.000 0.000 Ca
0.500 0.500 0.275 Hg
0.500 0.500 0.725 Hg
0.000 0.000 0.500 Au

=====

No. 11
SCAN CaHgAu, single point on PBEsol structure; uncorrected energy = -49.706 eV/atom; E_form = -68.6 kJ per mole of atoms; total magnetization = 0.0 μB per formula unit
1.0
-1.878 1.878 4.645
1.878 -1.878 4.645
1.878 1.878 -4.645
Ca Hg Au
1 1 1
Direct
0.000 0.000 0.000 Ca
0.325 0.325 0.000 Hg
0.663 0.663 0.000 Au

=====

No. 12
SCAN CaHg2Au, single point on PBEsol structure; uncorrected energy = -54.300 eV/atom; E_form = -49.4 kJ per mole of atoms; total magnetization = 0.0 μB per formula unit
1.0
3.577 0.000 0.000
0.000 4.179 0.000
-1.797 0.000 6.168
Ca Hg Au
1 2 1
Direct
0.000 0.000 0.000 Ca
0.256 0.000 0.516 Hg
0.648 0.500 0.296 Hg
0.408 0.500 0.816 Au

=====

No. 13
SCAN CaHgAu, single point on PBEsol structure; uncorrected energy = -49.666 eV/atom; E_form = -64.7 kJ per mole of atoms; total magnetization = 0.0 μB per formula unit
1.0
0.000 3.374 3.374
3.374 0.000 3.374
3.374 3.374 0.000
Ca Hg Au
1 1 1
Direct
0.000 0.000 0.000 Ca
0.500 0.500 0.500 Hg
0.250 0.250 0.250 Au

=====

No. 14
SCAN CaAuI3, single point on PBEsol structure; formation energy from raw total energies = -300 meV/atom; uncorrected energy = -38.109 eV/atom; total magnetization = 0.0 μB per formula unit
1.0
5.896 0.000 0.000
0.000 5.896 0.000
0.000 0.000 5.896
Ca Au I
1 1 3
Direct
0.000 0.000 0.000 Ca
0.500 0.500 0.500 Au
0.000 0.000 0.500 I
0.000 0.500 0.000 I
0.500 0.000 0.000 I

=====

No. 15
SCAN Rb2CaAuI, single point on PBEsol structure; formation energy from raw total energies = -64 meV/atom; uncorrected energy = -31.472 eV/atom; total magnetization = 0.0 μB per formula unit
1.0
6.784 0.000 0.000
0.000 6.784 0.000
0.000 0.000 5.656
Rb Ca Au I
2 1 1 1
Direct
0.000 0.500 0.000 Rb
0.500 0.000 0.000 Rb
0.000 0.000 0.500 Ca
0.500 0.500 0.500 Au
0.500 0.500 0.000 I

=====

No. 16
SCAN CaIn2Au2, single point on PBEsol structure; uncorrected energy = -43.567 eV/atom; E_form = -59.5 kJ per mole of atoms; total magnetization = 0.0 μB per formula unit
1.0
-2.149 2.149 6.229
2.149 -2.149 6.229
2.149 2.149 -6.229
Ca In Au
1 2 2
Direct
0.000 0.000 0.000 Ca
0.250 0.750 0.500 In
0.750 0.250 0.500 In
0.394 0.394 0.000 Au
0.606 0.606 0.000 Au

=====

No. 17
SCAN CaInAu, single point on PBEsol structure; uncorrected energy = -38.262 eV/atom; E_form = -82.9 kJ per mole of atoms; total magnetization = 0.0 μB per formula unit
1.0
7.285 0.000 0.000
0.000 4.567 0.000
0.000 0.000 8.350
Ca In Au
4 4 4
Direct
0.026 0.250 0.183 Ca
0.474 0.750 0.683 Ca
0.526 0.250 0.317 Ca
0.974 0.750 0.817 Ca
0.157 0.250 0.562 In
0.343 0.750 0.062 In
0.657 0.250 0.938 In
0.843 0.750 0.438 In
0.230 0.750 0.379 Au
0.270 0.250 0.879 Au
0.730 0.750 0.121 Au
0.770 0.250 0.621 Au

=====

No. 18
SCAN Ca2In4Au3, single point on PBEsol structure; uncorrected energy = -40.730 eV/atom; E_form = -66.8 kJ per mole of atoms; total magnetization = 0.0 μB per formula unit
1.0
14.670 0.000 0.000
0.000 4.429 0.000
0.000 0.000 12.596
Ca In Au
8 16 12
Direct
0.019 0.250 0.214 Ca
0.210 0.750 0.583 Ca
0.290 0.250 0.083 Ca
0.481 0.750 0.714 Ca
0.519 0.250 0.286 Ca
0.710 0.750 0.917 Ca
0.790 0.250 0.417 Ca
0.981 0.750 0.786 Ca
0.004 0.250 0.587 In
0.071 0.250 0.959 In
0.180 0.750 0.283 In
0.196 0.750 0.868 In
0.304 0.250 0.368 In
0.320 0.250 0.783 In
0.429 0.750 0.459 In
0.496 0.750 0.087 In
0.504 0.250 0.913 In
0.571 0.250 0.541 In
0.680 0.750 0.217 In
0.696 0.750 0.632 In
0.804 0.250 0.132 In
0.820 0.250 0.717 In
0.929 0.750 0.041 In
0.996 0.750 0.413 In
0.123 0.250 0.418 Au
0.124 0.750 0.078 Au
0.131 0.250 0.745 Au
0.369 0.750 0.245 Au
0.376 0.250 0.578 Au
0.377 0.750 0.918 Au
0.623 0.250 0.082 Au
0.624 0.750 0.422 Au
0.631 0.250 0.755 Au
0.869 0.750 0.255 Au
0.876 0.250 0.922 Au
0.877 0.750 0.582 Au

=====

No. 19
SCAN CaIn3Au, single point on PBEsol structure; uncorrected energy = -35.873 eV/atom; E_form = -7.4 kJ per mole of atoms; total magnetization = 0.0 μB per formula unit
1.0
5.273 0.000 0.000
0.000 5.273 0.000
0.000 0.000 5.273
Ca In Au
1 3 1
Direct
0.000 0.000 0.000 Ca
0.000 0.500 0.500 In
0.500 0.000 0.500 In
0.500 0.500 0.000 In
0.500 0.500 0.500 Au

=====

No. 20
SCAN CaInAu, single point on PBEsol structure; uncorrected energy = -38.202 eV/atom; E_form = -77.2 kJ per mole of atoms; total magnetization = 0.0 μB per formula unit
1.0
4.757 0.000 0.000
-2.379 4.120 0.000
0.000 0.000 3.549
Ca In Au
1 1 1
Direct
0.000 0.000 0.000 Ca
0.333 0.667 0.500 In
0.667 0.333 0.500 Au

=====

No. 21
SCAN CaIr2Au, single point on PBEsol structure; E above lowest polymorph = 0.00 eV per formula unit; uncorrected energy = -55.191 eV/atom; E_form = 6.1 kJ per mole of atoms; total magnetization = 0.0 μB per formula unit
1.0
-1.448 2.365 4.939
1.448 -2.365 4.939
1.448 2.365 -4.939
Ca Ir Au
1 2 1
Direct
0.000 0.000 0.000 Ca
0.267 0.767 0.500 Ir
0.733 0.233 0.500 Ir
0.500 0.500 0.000 Au

=====

No. 22
SCAN CaIrAu, single point on PBEsol structure; uncorrected energy = -49.787 eV/atom; E_form = 18.0 kJ per mole of atoms; total magnetization = 0.0 μB per formula unit
1.0
2.957 0.000 0.000
-1.478 2.561 0.000
0.000 0.000 7.045
Ca Ir Au
1 1 1
Direct
0.000 0.000 0.000 Ca
0.667 0.333 0.684 Ir
0.333 0.667 0.353 Au

=====

No. 23
SCAN CaIrAu3, single point on PBEsol structure; uncorrected energy = -57.528 eV/atom; E_form = 11.4 kJ per mole of atoms; total magnetization = 0.0 μB per formula unit
1.0
4.981 0.000 0.000
0.000 4.981 0.000
0.000 0.000 4.981
Ca Ir Au
1 1 3
Direct
0.000 0.000 0.000 Ca
0.500 0.500 0.500 Ir
0.000 0.500 0.500 Au
0.500 0.000 0.500 Au
0.500 0.500 0.000 Au

=====

No. 24
SCAN CaIr2Au, single point on PBEsol structure; E above lowest polymorph = 1.27 eV per formula unit; uncorrected energy = -54.872 eV/atom; E_form = 36.9 kJ per mole of atoms; total magnetization = 0.0 μB per formula unit
1.0
1.487 -2.346 0.000
1.487 2.346 0.000
0.000 0.000 9.423
Ca Ir Au
1 2 1
Direct
0.000 0.000 0.000 Ca
0.500 0.500 0.250 Ir
0.500 0.500 0.750 Ir
0.000 0.000 0.500 Au

=====

No. 25
SCAN CaIrPb2Au, single point on PBEsol structure; uncorrected energy = -60.401 eV/atom; E_form = -10.0 kJ per mole of atoms; total magnetization = 0.0 μB per formula unit
1.0
5.116 0.000 0.000
0.000 5.116 0.000
0.000 0.000 5.396
Ca Ir Pb Au
1 1 2 1
Direct
0.000 0.000 0.000 Ca
0.000 0.000 0.500 Ir
0.000 0.500 0.500 Pb
0.500 0.000 0.500 Pb
0.500 0.500 0.000 Au

=====

No. 26
SCAN KCaAu, single point on PBEsol structure; uncorrected energy = -28.897 eV/atom; E_form = 14.7 kJ per mole of atoms; total magnetization = 0.0 μB per formula unit
1.0
0.000 3.619 3.619
3.619 0.000 3.619
3.619 3.619 0.000
K Ca Au
1 1 1
Direct
0.000 0.000 0.000 K
0.250 0.250 0.250 Ca
0.750 0.750 0.750 Au

=====

No. 27
SCAN KCa2OsAu, single point on PBEsol structure; uncorrected energy = -32.025 eV/atom; E_form = 165.3 kJ per mole of atoms; total magnetization = 1.6 μB per formula unit
1.0
5.160 0.000 0.000
0.000 5.160 0.000
0.000 0.000 4.866
K Ca Os Au
1 2 1 1
Direct
0.000 0.000 0.000 K
0.000 0.500 0.000 Ca
0.500 0.000 0.000 Ca
0.500 0.500 0.500 Os
0.000 0.000 0.500 Au

=====

No. 28
SCAN KCaSb2Au, single point on PBEsol structure; formation energy from raw total energies = 549 meV/atom; uncorrected energy = -31.785 eV/atom; total magnetization = 0.0 μB per formula unit
1.0
5.600 0.000 0.000
0.000 5.600 0.000
0.000 0.000 5.737
K Ca Sb Au
1 1 2 1
Direct
0.000 0.000 0.000 K
0.000 0.000 0.500 Ca
0.000 0.500 0.500 Sb
0.500 0.000 0.500 Sb
0.500 0.500 0.000 Au